# 1
A relaxed Rb3Y2PbO6 crystal. Source: Alexandria via LeMat-Bulk, functional GGA-PBE.

Structure (extended XYZ):
```
12
Lattice="3.0845 -5.3435 0.0000 3.0845 5.3435 0.0000 -2.0510 0.0000 6.5791" Properties=species:S:1:pos:R:3 pbc="T T T"
Rb 0.0000 0.0000 0.0000
Rb 3.0845 1.7495 0.0000
Rb 3.0845 -1.7495 0.0000
Y 2.0590 3.5598 3.2895
Y 2.0590 -3.5598 3.2895
Pb 2.0590 0.0000 3.2895
O 0.9796 1.8699 2.0873
O -0.0963 0.0000 4.4858
O 0.9796 -1.8699 2.0873
O 3.1384 1.8699 4.4918
O 4.2142 0.0000 2.0933
O 3.1384 -1.8699 4.4918
```

## Properties
- space group = C2/m
- total DFT energy (no corrections) (eV for the cell shown) = -74.8

---

# 2
A relaxed LuMgZrHg crystal. Source: Alexandria via LeMat-Bulk, functional GGA-PBE.

Structure (extended XYZ):
```
4
Lattice="0.0000 3.5885 3.5885 3.5885 0.0000 3.5885 3.5885 3.5885 0.0000" Properties=species:S:1:pos:R:3 pbc="T T T"
Lu 0.0000 0.0000 0.0000
Mg 5.3828 5.3828 5.3828
Zr 3.5885 3.5885 3.5885
Hg 1.7943 1.7943 1.7943
```

## Properties
- space group = F-43m
- ΔH_f (0 K) (meV/atom) = -85
- total DFT energy (no corrections) (eV for the cell shown) = -15.3

---

# 3
A relaxed TcP2Au crystal. Source: Alexandria via LeMat-Bulk, functional GGA-PBE.

Structure (extended XYZ):
```
4
Lattice="3.9359 -1.5704 0.0000 3.9359 1.5704 0.0000 -0.3709 0.0000 5.1304" Properties=species:S:1:pos:R:3 pbc="T T T"
Tc 0.0000 0.0000 0.0000
P 1.9299 0.0000 4.1804
P 5.5709 0.0000 0.9500
Au 3.7504 0.0000 2.5652
```

## Properties
- space group = C2/m
- ΔH_f (0 K) (meV/atom) = 57
- total DFT energy (no corrections) (eV for the cell shown) = -24.2
- relative energy among the computed polymorphs (kJ per mole of atoms) = 20.2

---

# 4
A relaxed Li2TaPPd crystal. Source: Alexandria via LeMat-Bulk, functional GGA-PBE.

Structure (extended XYZ):
```
5
Lattice="4.3061 0.0000 0.0000 0.0000 4.3061 0.0000 0.0000 0.0000 4.5034" Properties=species:S:1:pos:R:3 pbc="T T T"
Li 0.0000 2.1530 0.0000
Li 2.1530 0.0000 0.0000
Ta 0.0000 0.0000 2.2517
P 2.1530 2.1530 0.0000
Pd 2.1530 2.1530 2.2517
```

## Properties
- space group = P4/mmm
- ΔH_f (0 K) (meV/atom) = 509
- total DFT energy (no corrections) (eV for the cell shown) = -23.7

---

# 5
A relaxed Pm2Ge3Ir2 crystal. Source: Alexandria via LeMat-Bulk, functional GGA-PBE.

Structure (extended XYZ):
```
7
Lattice="5.2239 -2.1213 0.0000 5.2239 2.1213 0.0000 -3.0016 0.0000 6.2626" Properties=species:S:1:pos:R:3 pbc="T T T"
Pm 0.7329 0.0000 1.7293
Pm 6.7133 0.0000 4.5333
Ge 3.7347 0.0000 0.3638
Ge 3.7231 0.0000 3.1313
Ge 3.7115 0.0000 5.8988
Ir -0.7465 0.0000 4.5168
Ir 8.1927 0.0000 1.7459
```

## Properties
- space group = C2/m
- ΔH_f (0 K) (meV/atom) = -661
- total DFT energy (no corrections) (eV for the cell shown) = -45.7
- relative energy among the computed polymorphs (kJ per mole of atoms) = 6.7

---

# 6
A relaxed KGaBi crystal. Source: Alexandria via LeMat-Bulk, functional GGA-PBE.

Structure (extended XYZ):
```
3
Lattice="-1.8971 1.8971 6.6570 1.8971 -1.8971 6.6570 1.8971 1.8971 -6.6570" Properties=species:S:1:pos:R:3 pbc="T T T"
K 0.0000 0.0000 0.0000
Ga 0.0000 0.0000 4.2272
Bi 0.0000 0.0000 9.3429
```

## Properties
- space group = I4mm
- ΔH_f (0 K) (meV/atom) = -153
- total DFT energy (no corrections) (eV for the cell shown) = -8.5
- relative energy among the computed polymorphs (kJ per mole of atoms) = 11.7

---

# 7
A relaxed Cu2Sn2Se5 crystal. Source: Alexandria via LeMat-Bulk, functional GGA-PBE.

Structure (extended XYZ):
```
9
Lattice="10.1632 -1.9526 0.0000 10.1632 1.9526 0.0000 -1.6415 0.0000 6.5929" Properties=species:S:1:pos:R:3 pbc="T T T"
Cu 1.6710 0.0000 2.5232
Cu 17.0138 0.0000 4.0697
Sn 8.0790 0.0000 1.4913
Sn 10.6059 0.0000 5.1017
Se -0.8208 0.0000 3.2965
Se 2.4742 0.0000 0.2786
Se 5.9616 0.0000 3.0154
Se 12.7232 0.0000 3.5775
Se 16.2106 0.0000 6.3143
```

## Properties
- space group = C2/m
- total DFT energy (no corrections) (eV for the cell shown) = -35.3
- relative energy among the computed polymorphs (kJ per mole of atoms) = 0.0

---

# 8
A relaxed MoAs2SeI crystal. Source: Alexandria via LeMat-Bulk, functional GGA-PBE.

Structure (extended XYZ):
```
5
Lattice="5.0453 0.0000 0.0000 0.0000 5.0453 0.0000 0.0000 0.0000 4.8116" Properties=species:S:1:pos:R:3 pbc="T T T"
Mo 0.0000 0.0000 0.0000
As 0.0000 2.5227 0.0000
As 2.5227 0.0000 0.0000
Se 0.0000 0.0000 2.4058
I 2.5227 2.5227 2.4058
```

## Properties
- space group = P4/mmm
- total DFT energy (no corrections) (eV for the cell shown) = -23.8
- relative energy among the computed polymorphs (kJ per mole of atoms) = 0.0